# YHo8Tm6 | Alexandria | GGA-PBE | relaxed
data_YHo8Tm6
_space_group_name_H-M_alt 'P -3'
_space_group_IT_number 147
_cell_length_a 12.3879
_cell_length_b 12.3879
_cell_length_c 3.5681
_cell_angle_alpha 90.00
_cell_angle_beta 90.00
_cell_angle_gamma 120.00
loop_
_space_group_symop_operation_xyz
'x,y,z'
'-x,-y,-z'
'-y,x-y,z'
'y,-x+y,-z'
'-x+y,-x,z'
'x-y,x,-z'
loop_
_atom_site_label
_atom_site_type_symbol
_atom_site_fract_x
_atom_site_fract_y
_atom_site_fract_z
Y1 Y 0.0000 0.0000 0.0000
Ho1 Ho 0.0854 0.7746 0.2858
Ho2 Ho 0.3333 0.6667 0.7465
Tm1 Tm 0.0985 0.4903 0.2406
# ΔH_f (0 K) (meV/atom): 253
# E above lowest polymorph (meV/atom): 115
# N(E_F) (states/eV/cell): 24.08

=====

# BaYInI6 | Alexandria | GGA-PBE | relaxed
data_BaYInI6
_space_group_name_H-M_alt 'P -3 1 c'
_space_group_IT_number 163
_space_group_name_Hall '-P 3 2c'
_cell_length_a 8.4271
_cell_length_b 8.4271
_cell_length_c 14.7082
_cell_angle_alpha 90.00
_cell_angle_beta 90.00
_cell_angle_gamma 120.00
loop_
_atom_site_label
_atom_site_type_symbol
_atom_site_fract_x
_atom_site_fract_y
_atom_site_fract_z
Ba1 Ba 0.3333 0.6667 0.2500
Y1 Y 0.3333 0.6667 0.7500
In1 In 0.0000 0.0000 0.0000
I1 I 0.0382 0.3738 0.6284
# Uncorrected formation energy (eV per atom): -1.306
# N(E_F) (states/eV/cell): 0.00

=====

# Na3P2Pt3 | Alexandria | GGA-PBE | relaxed
data_Na3P2Pt3
_space_group_name_H-M_alt 'P n m a'
_space_group_IT_number 62
_cell_length_a 7.633
_cell_length_b 14.342
_cell_length_c 5.687
_cell_angle_alpha 90.00
_cell_angle_beta 90.00
_cell_angle_gamma 90.00
loop_
_space_group_symop_operation_xyz
'x,y,z'
'-x,-y,-z'
'-x+1/2,-y,z+1/2'
'x+1/2,y,-z+1/2'
'x+1/2,-y+1/2,-z+1/2'
'-x+1/2,y+1/2,z+1/2'
'-x,y+1/2,-z'
'x,-y+1/2,z'
loop_
_atom_site_label
_atom_site_type_symbol
_atom_site_fract_x
_atom_site_fract_y
_atom_site_fract_z
Na1 Na 0.010 0.115 0.115
Na2 Na 0.186 0.250 0.533
P1 P 0.154 0.597 0.388
Pt1 Pt 0.137 0.041 0.624
Pt2 Pt 0.180 0.750 0.507
# ΔH_f (0 K) (meV/atom): -590
# N(E_F) (states/eV/cell): 7.19

=====

Calculated values (kg/m³) of density for the records, taken in order: 8481 4048 7641.